# UCdCl6 | the Alexandria database | PBE | relaxed
data_UCdCl6
_cell_length_a 6.611
_cell_length_b 12.405
_cell_length_c 6.607
_cell_angle_alpha 90.00
_cell_angle_beta 107.76
_cell_angle_gamma 90.00
_space_group_name_H-M_alt 'C 1 2/m 1'
_space_group_IT_number 12
_space_group_name_Hall '-C 2y'
loop_
_atom_site_label
_atom_site_type_symbol
_atom_site_fract_x
_atom_site_fract_y
_atom_site_fract_z
U1 U 0.000 0.000 0.000
Cd1 Cd 0.000 0.500 0.500
Cl1 Cl 0.245 0.000 0.756
Cl2 Cl 0.249 0.145 0.250
# Final energy ... -4.356 eV per atom
# Formation energy (no corrections) ... -139.5 kJ per mole of atoms